The following is a PBE with a Hubbard U calculation of MnReGeO6 after structural relaxation, from Alexandria via LeMat-Bulk.

Results
**V**: 11.62 A^3/atom
**Total DFT energy (no corrections)**: -7.5725 eV/atom
**DOS at the Fermi energy**: 5.86 states/eV per cell

a b c (Å): 5.0917 5.0917 9.3190
angles (deg): 90.00 90.00 120.00
Fractional coordinates of all 18 atoms:
Mn 0.0000 0.0000 0.0000
Mn 0.0000 0.0000 0.5000
Re 0.3333 0.6667 0.2500
Re 0.6667 0.3333 0.7500
Ge 0.3333 0.6667 0.7500
Ge 0.6667 0.3333 0.2500
O 0.0005 0.3620 0.6380
O 0.0005 0.6385 0.8620
O 0.3620 0.0005 0.1380
O 0.3620 0.3615 0.3620
O 0.3615 0.3620 0.8620
O 0.3615 0.9995 0.6380
O 0.6385 0.0005 0.3620
O 0.6385 0.6380 0.1380
O 0.6380 0.6385 0.6380
O 0.6380 0.9995 0.8620
O 0.9995 0.3615 0.1380
O 0.9995 0.6380 0.3620